Entry P
An optimized crystal structure of Mn2CoRe2. Source: the Alexandria database, functional PBE.

Output
SG   P4/mbm

a b c (Å): 6.8594 6.8594 2.7713
angles (deg): 90.00 90.00 90.00
Fractional positions:
Re  0.1684  0.6684  0.5000
Re  0.6684  0.8316  0.5000
Re  0.8316  0.3316  0.5000
Re  0.3316  0.1684  0.5000
Mn  0.3683  0.8683  0.0000
Mn  0.8683  0.6317  0.0000
Mn  0.6317  0.1317  0.0000
Mn  0.1317  0.3683  0.0000
Co  0.0000  0.0000  0.0000
Co  0.5000  0.5000  0.0000

=====

Entry Q
An optimized crystal structure of Mn2CoRe2. Source: the Alexandria database, functional PBE.

Output
SG   I4/mmm

a b c (Å): 3.0258 3.0258 7.5237
angles (deg): 78.40 78.40 90.00
Last column: magnetic moment on the atom in μB.
Fractional positions:
Re  0.3966  0.3966  0.2068  0.09
Re  0.6034  0.6034  0.7932  0.09
Mn  0.7500  0.2500  0.5000  0.01
Mn  0.2500  0.7500  0.5000  0.01
Co  0.0000  0.0000  0.0000  1.31

=====

Entry R
An optimized crystal structure of Mn2CoRe2. Source: the Alexandria database, functional PBE.

Output
SG   P4/mbm

a b c (Å): 7.0680 7.0680 2.6926
angles (deg): 90.00 90.00 90.00
Fractional positions:
Re  0.3647  0.8647  0.0000
Re  0.8647  0.6353  0.0000
Re  0.6353  0.1353  0.0000
Re  0.1353  0.3647  0.0000
Mn  0.1642  0.6642  0.5000
Mn  0.6642  0.8358  0.5000
Mn  0.8358  0.3358  0.5000
Mn  0.3358  0.1642  0.5000
Co  0.0000  0.0000  0.0000
Co  0.5000  0.5000  0.0000

=====

Which of them is the least stable? Correct choice: entry Q.